A plane-wave DFT calculation with PBE-GGA was carried out for a relaxed structure of DyPaPSe.

Formation energy (no corrections) (meV/atom): -1435
ρ (Mg/m³): 8.88
Crystal system: trigonal

Cell: 3.9060 3.9060 21.3806 Å, 90.00 90.00 120.00°
Closest atoms and distances in Å follow each position.
Space group R3m (No. 160, hexagonal axes)
Symmetry-distinct sites (fractional):
Dy1 0.0000 0.0000 0.0000 (multiplicity 3)  3 P 2.76, 3 Se 3.01
Pa1 0.0000 0.0000 0.8151 (multiplicity 3)  3 P 2.76, 3 Se 2.99
P1 0.0000 0.0000 0.4074 (multiplicity 3)  3 Dy 2.76, 3 Pa 2.76
Se1 0.0000 0.0000 0.2403 (multiplicity 3)  3 Pa 2.99, 3 Dy 3.01

A plane-wave DFT calculation with PBE-GGA was carried out for a relaxed structure of Sm3DyPa2P6.

Calculated formation energy (eV/atom): -1.51
ρ (Mg/m³): 7.51
Crystal system: monoclinic

Cell: 6.9860 12.0992 7.0014 Å, 90.00 109.41 90.00°
Closest atoms and distances in Å follow each position.
Space group C2/m (No. 12)
Symmetry-distinct sites (fractional):
Sm1 0.0000 0.0000 0.0000 (multiplicity 2)  6 P 2.87-2.91
Sm2 0.0000 0.3345 0.0000 (multiplicity 4)  6 P 2.88-2.91
Dy1 0.0000 0.5000 0.5000 (multiplicity 2)  6 P 2.84
Pa1 0.0000 0.1666 0.5000 (multiplicity 4)  6 P 2.80
P1 0.2417 0.0000 0.7390 (multiplicity 4)  2 Pa 2.80, 1 Dy 2.84, 3 Sm 2.87-2.90
P2 0.2485 0.3309 0.7381 (multiplicity 8)  2 Pa 2.80, 1 Dy 2.84, 3 Sm 2.88-2.91

A plane-wave DFT calculation with PBE-GGA was carried out for a relaxed structure of Sm2DyPaP4.

Calculated formation energy (eV/atom): -1.53
ρ (Mg/m³): 7.28
Crystal system: monoclinic

Cell: 6.9786 4.0447 7.0092 Å, 90.00 109.43 90.00°
Closest atoms and distances in Å follow each position.
Space group P2/m (No. 10)
Symmetry-distinct sites (fractional):
Sm1 0.0000 0.0000 0.0000 (multiplicity 1)  6 P 2.91-2.92
Sm2 0.5000 0.5000 0.0000 (multiplicity 1)  6 P 2.88
Dy1 0.0000 0.5000 0.5000 (multiplicity 1)  6 P 2.83
Pa1 0.5000 0.0000 0.5000 (multiplicity 1)  6 P 2.79-2.81
P1 0.2516 0.0000 0.7397 (multiplicity 2)  1 Pa 2.79, 2 Dy 2.83, 3 Sm 2.88-2.92
P2 0.2566 0.5000 0.2610 (multiplicity 2)  2 Pa 2.81, 1 Dy 2.83, 3 Sm 2.88-2.91

A plane-wave DFT calculation with PBE-GGA was carried out for a relaxed structure of SmDyPa2P4.

Calculated formation energy (eV/atom): -1.45
ρ (Mg/m³): 8.21
Crystal system: monoclinic

Cell: 6.9381 4.0057 6.9382 Å, 90.00 109.48 90.00°
Closest atoms and distances in Å follow each position.
Space group P2/m (No. 10)
Symmetry-distinct sites (fractional):
Sm1 0.0000 0.0000 0.0000 (multiplicity 1)  6 P 2.87-2.88
Dy1 0.0000 0.5000 0.5000 (multiplicity 1)  6 P 2.85
Pa1 0.5000 0.0000 0.5000 (multiplicity 1)  6 P 2.79
Pa2 0.5000 0.5000 0.0000 (multiplicity 1)  6 P 2.81
P1 0.2570 0.0000 0.7496 (multiplicity 2)  3 Pa 2.79-2.81, 2 Dy 2.85, 1 Sm 2.87
P2 0.2592 0.5000 0.2560 (multiplicity 2)  3 Pa 2.79-2.81, 1 Dy 2.85, 2 Sm 2.88